1.
ZnSiPd, optimized geometry, DFT PBE; M_tot = 0.0 Bohr magnetons per cell; energy relative to the elements, uncorrected = -225.2 meV per atom; E_tot = -4.188 eV per atom
1.0
3.4949 0.0000 -0.7430
0.0000 3.9753 0.0000
-0.4557 0.0000 6.4478
Zn Si Pd
2 2 2
Direct
0.9345 0.2500 0.8689
0.0655 0.7500 0.1311
0.2556 0.2500 0.5111
0.7444 0.7500 0.4889
0.6089 0.2500 0.2177
0.3911 0.7500 0.7823



2.
Zn2SiPd6, optimized geometry, DFT PBE; M_tot = 0.0 Bohr magnetons per cell; E above lowest polymorph = 0.0 meV per atom; energy relative to the elements, uncorrected = -508.7 meV per atom; E_tot = -4.856 eV per atom
1.0
-0.2860 2.4752 1.6231
-7.1408 -0.6134 -0.3227
3.6278 -3.0977 5.3631
Zn Si Pd
2 1 6
Direct
0.0000 0.3335 0.6668
0.0000 0.6667 0.3332
0.5000 0.9997 0.0000
0.5000 0.6134 0.0000
0.5000 0.3868 0.3867
0.5000 0.0001 0.6133
0.0000 0.2639 0.0000
0.0000 0.7359 0.7357
0.0000 0.0002 0.2643



3.
Zr2Si2Pd, optimized geometry, DFT PBE; M_tot = 0.0 Bohr magnetons per cell; energy relative to the elements, uncorrected = -930.0 meV per atom; E_tot = -7.557 eV per atom
1.0
3.8393 0.0000 0.0000
1.9197 4.9358 0.1738
1.9197 1.7970 4.6003
Zr Si Pd
2 2 1
Direct
0.7963 0.7037 0.7037
0.2037 0.2963 0.2963
0.5000 0.7191 0.2809
0.5000 0.2809 0.7191
0.0000 0.0000 0.0000



4.
ZrSiPd3, optimized geometry, DFT PBE; M_tot = 0.0 Bohr magnetons per cell; E above lowest polymorph = 1105.9 meV per atom; energy relative to the elements, uncorrected = 889.2 meV per atom; E_tot = -5.021 eV per atom
1.0
4.9076 0.0000 0.0000
0.0000 4.9076 0.0000
0.0000 0.0000 4.9076
Si Zr Pd
1 1 3
Direct
0.5000 0.5000 0.5000
0.0000 0.0000 0.0000
0.0000 0.5000 0.0000
0.0000 0.0000 0.5000
0.5000 0.0000 0.0000



5.
ZrSiPd, optimized geometry, DFT PBE; M_tot = 0.0 Bohr magnetons per cell; energy relative to the elements, uncorrected = -870.2 meV per atom; E_tot = -7.258 eV per atom
1.0
-2.7889 -0.3665 1.4741
1.2524 -3.8525 1.4115
0.7814 3.5032 2.3493
Si Zr Pd
1 1 1
Direct
0.1667 0.3333 0.6667
0.6667 0.6667 0.3333
0.1666 0.0000 0.0000



6.
ZrSi2Pd, optimized geometry, DFT PBE; M_tot = 0.0 Bohr magnetons per cell; energy relative to the elements, uncorrected = -309.8 meV per atom; E_tot = -6.457 eV per atom
1.0
3.5202 -2.6674 -0.8476
2.2993 -1.8373 3.4004
-0.2881 -4.4195 0.7809
Si Zr Pd
2 1 1
Direct
0.2500 0.2500 0.2500
0.7500 0.7500 0.7500
0.0000 0.0000 0.0000
0.5000 0.5000 0.5000



7.
Zr2Si2Pd, optimized geometry, DFT PBE; M_tot = 0.0 Bohr magnetons per cell; energy relative to the elements, uncorrected = -921.7 meV per atom; E_tot = -7.549 eV per atom
1.0
6.4887 0.0000 0.0000
0.0000 6.4887 0.0000
0.0000 0.0000 4.0737
Si Zr Pd
4 4 2
Direct
0.3705 0.8705 0.0000
0.8705 0.6295 0.0000
0.6295 0.1295 0.0000
0.1295 0.3705 0.0000
0.1726 0.6726 0.5000
0.6726 0.8274 0.5000
0.8274 0.3274 0.5000
0.3274 0.1726 0.5000
0.0000 0.0000 0.0000
0.5000 0.5000 0.0000



8.
ZrSi2Pd, optimized geometry, DFT PBE; M_tot = 0.0 Bohr magnetons per cell; energy relative to the elements, uncorrected = -608.1 meV per atom; E_tot = -6.755 eV per atom
1.0
-2.9115 1.8058 1.8379
-2.5536 -1.6533 -2.4210
1.9572 -6.9044 5.7724
Zr Si Pd
2 4 2
Direct
0.1079 0.1079 0.2159
0.8921 0.8921 0.7841
0.3396 0.3396 0.6792
0.6604 0.6604 0.3208
0.5000 0.0000 0.0000
0.0000 0.5000 0.0000
0.7500 0.2500 0.5000
0.2500 0.7500 0.5000



9.
Zr4SiPd, optimized geometry, DFT PBE; M_tot = 0.0 Bohr magnetons per cell; energy relative to the elements, uncorrected = -593.1 meV per atom; E_tot = -8.061 eV per atom
1.0
-2.0234 2.7333 -4.1943
-5.8925 0.3869 3.0948
1.8671 5.7367 2.8377
Zr Si Pd
8 2 2
Direct
0.0000 0.1627 0.6532
0.0000 0.8373 0.3468
0.0000 0.3468 0.1627
0.0000 0.6532 0.8373
0.5000 0.8373 0.6532
0.5000 0.1627 0.3468
0.5000 0.6532 0.1627
0.5000 0.3468 0.8373
0.2500 0.5000 0.5000
0.7500 0.5000 0.5000
0.2500 0.0000 0.0000
0.7500 0.0000 0.0000



10.
ZrSiPd3, optimized geometry, DFT PBE; M_tot = 0.0 Bohr magnetons per cell; E above lowest polymorph = 0.0 meV per atom; energy relative to the elements, uncorrected = -216.7 meV per atom; E_tot = -6.127 eV per atom
1.0
-3.7137 -0.8122 2.4387
-0.2615 -4.1435 -1.7782
2.5571 -1.6033 3.3600
Si Zr Pd
1 1 3
Direct
0.0000 0.0000 0.0000
0.5000 0.5000 0.5000
0.0000 0.5000 0.0000
0.0000 0.0000 0.5000
0.5000 0.0000 0.0000



11.
ZrSiPd, optimized geometry, DFT PBE; M_tot = 0.0 Bohr magnetons per cell; energy relative to the elements, uncorrected = -1002.8 meV per atom; E_tot = -7.391 eV per atom
1.0
3.9099 0.0000 0.0000
0.0000 6.6661 0.0000
0.0000 0.0000 7.6663
Si Zr Pd
4 4 4
Direct
0.7500 0.2390 0.8765
0.7500 0.7390 0.6235
0.2500 0.2610 0.3765
0.2500 0.7610 0.1235
0.2500 0.5269 0.8203
0.2500 0.0269 0.6797
0.7500 0.9731 0.3203
0.7500 0.4731 0.1797
0.7500 0.8567 0.9388
0.7500 0.3567 0.5612
0.2500 0.6433 0.4388
0.2500 0.1433 0.0612



12.
Zr3Si4Pd7, optimized geometry, DFT PBE; M_tot = 0.0 Bohr magnetons per cell; energy relative to the elements, uncorrected = -830.8 meV per atom; E_tot = -6.808 eV per atom
1.0
-0.1504 3.7872 1.0497
1.0881 -0.0522 7.7113
7.7643 1.9067 1.6006
Zr Si Pd
3 4 7
Direct
0.3186 0.1845 0.1782
0.6814 0.8155 0.8218
0.0000 0.5000 0.5000
0.6579 0.4368 0.2474
0.3421 0.5632 0.7526
0.8914 0.8919 0.3253
0.1086 0.1081 0.6747
0.3079 0.8556 0.5285
0.4892 0.2310 0.7906
0.8302 0.4096 0.9301
0.6921 0.1444 0.4715
0.1698 0.5904 0.0699
0.0000 0.0000 0.0000
0.5108 0.7690 0.2094



13.
ZrSi2Pd, optimized geometry, DFT PBE; M_tot = 0.0 Bohr magnetons per cell; energy relative to the elements, uncorrected = -256.0 meV per atom; E_tot = -6.403 eV per atom
1.0
4.1906 0.0000 0.0000
0.0000 4.1906 0.0000
2.0953 2.0953 8.4821
Si Zr Pd
4 2 2
Direct
0.7076 0.1250 0.2500
0.0424 0.6250 0.2500
0.3750 0.2924 0.7500
0.8750 0.9576 0.7500
0.5000 0.5000 0.0000
0.2500 0.7500 0.5000
0.0000 0.0000 0.0000
0.7500 0.2500 0.5000



14.
Zr2SiPd, optimized geometry, DFT PBE; M_tot = 0.0 Bohr magnetons per cell; energy relative to the elements, uncorrected = -284.9 meV per atom; E_tot = -7.213 eV per atom
1.0
-5.2457 -3.9432 -3.4315
-2.3179 -2.6027 6.5342
-5.5912 -1.0707 1.7867
Si Zr Pd
2 4 2
Direct
0.5000 0.5000 0.0000
0.2500 0.7500 0.5000
0.6244 0.1250 0.2500
0.1256 0.6250 0.2500
0.3750 0.3756 0.7500
0.8750 0.8744 0.7500
0.0000 0.0000 0.0000
0.7500 0.2500 0.5000



15.
ZrSiPd2, optimized geometry, DFT PBE; M_tot = 0.0 Bohr magnetons per cell; energy relative to the elements, uncorrected = -430.1 meV per atom; E_tot = -6.519 eV per atom
1.0
-2.2747 -1.8080 2.6888
-2.3815 -1.2948 -2.8853
2.6873 -9.0278 -0.8827
Si Zr Pd
2 2 4
Direct
0.5000 0.5000 0.0000
0.2500 0.7500 0.5000
0.0000 0.0000 0.0000
0.7500 0.2500 0.5000
0.6053 0.1250 0.2500
0.1447 0.6250 0.2500
0.3750 0.3947 0.7500
0.8750 0.8553 0.7500



16.
ZrSiPd5, optimized geometry, DFT PBE; M_tot = 0.0 Bohr magnetons per cell; energy relative to the elements, uncorrected = -765.2 meV per atom; E_tot = -6.470 eV per atom
1.0
-1.6119 1.3698 3.4266
1.3092 -3.2837 1.9286
5.9488 3.2518 1.4985
Zr Si Pd
1 1 5
Direct
0.0000 0.0000 0.5000
0.5000 0.5000 0.0000
0.0000 0.5000 0.7918
0.0000 0.5000 0.2082
0.5000 0.0000 0.7918
0.5000 0.0000 0.2082
0.5000 0.5000 0.5000



17.
ZrSiPd6, optimized geometry, DFT PBE; M_tot = 0.0 Bohr magnetons per cell; energy relative to the elements, uncorrected = -254.7 meV per atom; E_tot = -5.896 eV per atom
1.0
-5.0709 -1.8750 0.2980
-1.3740 -4.5223 -2.6420
-0.6605 -5.3924 4.0249
Zr Si Pd
1 1 6
Direct
0.5000 0.5000 0.5000
0.0000 0.0000 0.0000
0.9219 0.9219 0.7225
0.4337 0.9219 0.7225
0.0781 0.5663 0.2775
0.5663 0.0781 0.2775
0.0781 0.0781 0.2775
0.9219 0.4337 0.7225



18.
Sm3Pd4, optimized geometry, DFT PBE; M_tot = 0.0 Bohr magnetons per cell; E_tot = -5.844 eV per atom; energy of formation = -0.854 eV/atom
1.0
-6.5837 4.5921 -0.7241
-1.4964 -7.6860 1.9088
5.9664 3.3802 4.2348
Sm Pd
6 8
Direct
0.9731 0.5948 0.7220
0.7220 0.9731 0.5948
0.5948 0.7220 0.9731
0.0269 0.4052 0.2780
0.2780 0.0269 0.4052
0.4052 0.2780 0.0269
0.0000 0.0000 0.0000
0.5000 0.5000 0.5000
0.9391 0.7746 0.4474
0.4474 0.9391 0.7746
0.7746 0.4474 0.9391
0.0609 0.2254 0.5526
0.5526 0.0609 0.2254
0.2254 0.5526 0.0609



19.
SmPd12, optimized geometry, DFT PBE; M_tot = 0.0 Bohr magnetons per cell; E_tot = -5.367 eV per atom; energy of formation = -0.210 eV/atom
1.0
-3.1449 2.6478 -3.3083
-3.7209 -4.2518 -4.0744
-6.2824 1.2284 2.7468
Sm Pd
1 12
Direct
0.0000 0.0000 0.0000
0.5000 0.0000 0.5000
0.0000 0.0000 0.5000
0.5000 0.5000 0.0000
0.0000 0.5000 0.0000
0.0000 0.6495 0.3505
0.0000 0.3505 0.6495
0.6495 0.3505 0.3505
0.3505 0.6495 0.6495
0.5000 0.2171 0.7829
0.5000 0.7829 0.2171
0.7171 0.7829 0.7829
0.2829 0.2171 0.2171



20.
SmPd2, optimized geometry, DFT PBE; M_tot = 0.0 Bohr magnetons per cell; E_tot = -5.806 eV per atom; energy of formation = -0.771 eV/atom
1.0
-0.4201 4.1667 -1.2391
-3.4590 -0.8759 -1.7727
-1.6233 1.8395 6.7360
Sm Pd
2 4
Direct
0.7500 0.1029 0.2059
0.2500 0.8971 0.7941
0.2500 0.5806 0.1611
0.7500 0.4194 0.8389
0.7500 0.7561 0.5122
0.2500 0.2439 0.4878



21.
Sm3Pd5, optimized geometry, DFT PBE; M_tot = 0.0 Bohr magnetons per cell; E_tot = -5.868 eV per atom; energy of formation = -0.853 eV/atom
1.0
-2.8644 4.5635 -2.4463
-3.7480 -2.0617 4.0885
3.9650 6.0809 6.7012
Sm Pd
6 10
Direct
0.2020 0.7980 0.0000
0.7980 0.2020 0.0000
0.7980 0.2020 0.5000
0.2020 0.7980 0.5000
0.6251 0.6251 0.7500
0.3749 0.3749 0.2500
0.5061 0.0634 0.7500
0.4939 0.9366 0.2500
0.0634 0.5061 0.7500
0.9366 0.4939 0.2500
0.0269 0.0269 0.7500
0.9731 0.9731 0.2500
0.3156 0.3156 0.9509
0.6844 0.6844 0.0491
0.6844 0.6844 0.4509
0.3156 0.3156 0.5491



22.
SmPd3, optimized geometry, DFT PBE; M_tot = 0.0 Bohr magnetons per cell; E_tot = -5.788 eV per atom; energy of formation = -0.714 eV/atom
1.0
-2.6412 3.1081 -1.0761
-2.6377 -1.1771 3.0743
4.5724 1.5901 1.6377
Pd Sm
3 1
Direct
0.7500 0.2500 0.5000
0.2500 0.7500 0.5000
0.5000 0.5000 0.0000
0.0000 0.0000 0.0000



23.
Sm3Pd, optimized geometry, DFT PBE; M_tot = 0.0 Bohr magnetons per cell; E above lowest polymorph = 227.9 meV per atom; E_tot = -5.019 eV per atom; energy of formation = -0.181 eV/atom
1.0
-1.8030 -0.3939 3.2496
-2.2712 -2.3440 -1.5443
5.6122 -6.9355 2.2732
Pd Sm
1 3
Direct
0.0000 0.0000 0.9890
0.0000 0.5000 0.4665
0.5000 0.5000 0.1331
0.5000 0.0000 0.7447



24.
Sm2Pd, optimized geometry, DFT PBE; M_tot = 0.0 Bohr magnetons per cell; E_tot = -5.278 eV per atom; energy of formation = -0.401 eV/atom
1.0
-1.6363 -3.0101 6.1022
3.2298 -5.9998 -2.0935
6.2069 2.3551 2.8261
Sm Pd
8 4
Direct
0.2458 0.4568 0.0515
0.7542 0.0432 0.0515
0.7458 0.5432 0.4485
0.7458 0.0432 0.5515
0.7542 0.5432 0.9485
0.2458 0.9568 0.9485
0.2542 0.4568 0.5515
0.2542 0.9568 0.4485
0.0000 0.7500 0.2179
0.0000 0.2500 0.7821
0.5000 0.2500 0.2821
0.5000 0.7500 0.7179